BaVReO6: relaxed, GGA+U.

Cell lengths 5.3033, 5.3033, 5.6956 Å; angles 90.22, 90.22, 119.40 degrees
Last column: nearest neighbours and their distance in Å.
Atoms (fractional coordinates):
Ba  0.0000  0.0000  0.0000  6 O 2.73-2.74
V  0.3294  0.6706  0.5000  6 O 2.00-2.05
Re  0.6660  0.3340  0.5000  6 O 1.89-1.92
O  0.3991  0.3867  0.3097  1 Re 1.91, 1 V 2.03
O  0.3995  0.0169  0.6909  1 Re 1.92, 1 V 2.00
O  0.6133  0.6009  0.6903  1 Re 1.91, 1 V 2.03
O  0.6143  0.0209  0.3071  1 Re 1.89, 1 V 2.05
O  0.9791  0.3857  0.6929  1 Re 1.89, 1 V 2.05
O  0.9831  0.6005  0.3091  1 Re 1.92, 1 V 2.00

Results
The total moment is 2.00 μB per formula unit. The total energy comes out at -7.83 eV/atom.